No. 1
VASP calculation (PBEsol) on a relaxed RePS2N crystal.

Unit cell a=3.913 b=3.928 c=3.928 alpha=90.00 beta=90.00 gamma=90.00
Fractional positions:
N 0.000 0.000 0.000
P 0.500 0.000 0.000
S 0.000 0.500 0.000
S 0.000 0.000 0.500
Re 0.500 0.500 0.500

Summary:
- SG = No. 123
- formation energy without anion corrections (eV per atom) = 1.0493

No. 2
VASP calculation (PBEsol) on a relaxed PRh2N2 crystal.

Unit cell a=4.293 b=4.293 c=4.293 alpha=90.59 beta=119.66 gamma=119.66
Fractional positions:
Rh 0.500 0.250 0.750
N 0.000 0.273 0.273
N 0.000 0.727 0.727
P 0.000 0.000 0.000
Rh 0.500 0.750 0.250

Summary:
- SG = No. 139
- formation energy without anion corrections (eV per atom) = 0.6731

No. 3
VASP calculation (PBEsol) on a relaxed PRhS2N crystal.

Unit cell a=4.385 b=4.686 c=4.686 alpha=90.00 beta=90.00 gamma=90.00
Site moments in Bohr magnetons follow the coordinates.
Fractional positions:
N 0.500 0.500 0.500  1.65
Rh 0.000 0.000 0.000  -0.33
S 0.000 0.500 0.000  -0.17
S 0.000 0.000 0.500  -0.17
P 0.500 0.000 0.000  -0.01

Summary:
- SG = No. 123
- formation energy without anion corrections (eV per atom) = 1.5862

Number 1: N(E_F) 2.32 states/eV per cell, VASP energy -31.17 eV per cell. Number 2: N(E_F) 2.11 states/eV per cell, VASP energy -35.76 eV per cell. Number 3: N(E_F) 6.23 states/eV per cell, VASP energy -23.29 eV per cell.